## CsTcMo3 (PBE-GGA)

Data for crystalline CsTcMo3 at its relaxed geometry.

Output
**Formation energy**: 1.88 eV/atom
**Calculated total energy**: -6.865 eV per atom

a = 4.898 Å, b = 4.898 Å, c = 4.898 Å
α = 90.00°, β = 90.00°, γ = 90.00°
Fractional coordinates of all 5 atoms:
1 Cs 0.000 0.000 0.000
2 Tc 0.500 0.500 0.500
3 Mo 0.000 0.500 0.500
4 Mo 0.500 0.000 0.500
5 Mo 0.500 0.500 0.000


## HoBi2P2Pd7 (PBE-GGA)

Data for crystalline HoBi2P2Pd7 at its relaxed geometry.

Output
**Formation energy**: -0.50 eV/atom
**Calculated total energy**: -5.461 eV per atom

a = 4.552 Å, b = 4.552 Å, c = 11.445 Å
α = 92.43°, β = 92.43°, γ = 98.26°
Fractional coordinates of all 12 atoms:
1 Ho 0.000 0.000 0.000
2 Bi 0.147 0.147 0.382
3 Bi 0.853 0.853 0.618
4 P 0.312 0.312 0.814
5 P 0.688 0.688 0.186
6 Pd 0.163 0.572 0.203
7 Pd 0.365 0.365 0.609
8 Pd 0.428 0.837 0.797
9 Pd 0.500 0.500 0.000
10 Pd 0.572 0.163 0.203
11 Pd 0.635 0.635 0.391
12 Pd 0.837 0.428 0.797


## Li2TbEr (PBE-GGA)

Data for crystalline Li2TbEr at its relaxed geometry.

Output
**Energy above the most stable polymorph in this dataset**: 2 meV/atom
**Formation energy**: 0.16 eV/atom
**Calculated total energy**: -3.098 eV per atom

a = 5.233 Å, b = 5.233 Å, c = 5.233 Å
α = 60.00°, β = 60.00°, γ = 60.00°
Fractional coordinates of all 4 atoms:
1 Li 0.250 0.250 0.250
2 Li 0.750 0.750 0.750
3 Tb 0.000 0.000 0.000
4 Er 0.500 0.500 0.500


## Ce3Ge4Rh4 (PBE-GGA)

Data for crystalline Ce3Ge4Rh4 at its relaxed geometry.

Output
**Formation energy**: -0.90 eV/atom
**Calculated total energy**: -6.868 eV per atom

a = 12.931 Å, b = 12.931 Å, c = 12.931 Å
α = 162.39°, β = 160.80°, γ = 26.17°
Fractional coordinates of all 11 atoms:
1 Ce 0.000 0.000 0.000
2 Ce 0.356 0.856 0.500
3 Ce 0.644 0.144 0.500
4 Ge 0.195 0.695 0.500
5 Ge 0.451 0.451 0.000
6 Ge 0.549 0.549 0.000
7 Ge 0.805 0.305 0.500
8 Rh 0.097 0.597 0.500
9 Rh 0.252 0.252 0.000
10 Rh 0.748 0.748 0.000
11 Rh 0.903 0.403 0.500


## ScCoOs2 (PBE-GGA)

Data for crystalline ScCoOs2 at its relaxed geometry.

Output
**Energy above the most stable polymorph in this dataset**: 48 meV/atom
**Formation energy**: 0.00 eV/atom
**Calculated total energy**: -8.972 eV per atom

a = 5.082 Å, b = 5.082 Å, c = 4.634 Å
α = 113.29°, β = 113.29°, γ = 32.45°
Fractional coordinates of all 4 atoms:
1 Sc 0.000 0.000 0.000
2 Co 0.754 0.754 0.108
3 Os 0.228 0.228 0.603
4 Os 0.483 0.483 0.504


## LiMgCo2 (PBE-GGA)

Data for crystalline LiMgCo2 at its relaxed geometry.

Output
**Formation energy**: 0.19 eV/atom
**Calculated total energy**: -4.240 eV per atom

a = 4.843 Å, b = 4.843 Å, c = 4.843 Å
α = 137.13°, β = 137.13°, γ = 62.24°
Fractional coordinates of all 4 atoms:
1 Li 0.000 0.000 0.000
2 Mg 0.500 0.500 0.000
3 Co 0.250 0.750 0.500
4 Co 0.750 0.250 0.500


## Cs8Rb6Sb (PBE-GGA)

Data for crystalline Cs8Rb6Sb at its relaxed geometry.

Output
**Calculated total energy**: -1.197 eV per atom
**Formation energy without anion corrections**: -0.080 eV/atom

a = 11.791 Å, b = 11.791 Å, c = 11.791 Å
α = 72.74°, β = 72.74°, γ = 72.74°
Fractional coordinates of all 15 atoms:
1 Cs 0.184 0.613 0.463
2 Cs 0.246 0.246 0.246
3 Cs 0.387 0.537 0.816
4 Cs 0.463 0.184 0.613
5 Cs 0.537 0.816 0.387
6 Cs 0.613 0.463 0.184
7 Cs 0.754 0.754 0.754
8 Cs 0.816 0.387 0.537
9 Rb 0.026 0.313 0.902
10 Rb 0.098 0.974 0.687
11 Rb 0.313 0.902 0.026
12 Rb 0.687 0.098 0.974
13 Rb 0.902 0.026 0.313
14 Rb 0.974 0.687 0.098
15 Sb 0.500 0.500 0.500


## Pr5Nd7 (PBE-GGA)

Data for crystalline Pr5Nd7 at its relaxed geometry.

Output
**Energy above the most stable polymorph in this dataset**: 145 meV/atom
**Formation energy**: 0.15 eV/atom
**Calculated total energy**: -4.623 eV per atom

a = 5.760 Å, b = 5.760 Å, c = 15.080 Å
α = 102.58°, β = 102.58°, γ = 63.11°
Fractional coordinates of all 12 atoms:
1 Pr 0.000 0.000 0.000
2 Pr 0.131 0.131 0.437
3 Pr 0.374 0.374 0.200
4 Pr 0.626 0.626 0.800
5 Pr 0.869 0.869 0.563
6 Nd 0.035 0.035 0.215
7 Nd 0.248 0.248 0.672
8 Nd 0.323 0.323 0.915
9 Nd 0.500 0.500 0.500
10 Nd 0.677 0.677 0.085
11 Nd 0.752 0.752 0.328
12 Nd 0.965 0.965 0.785